Entry 1:
Entry from Alexandria via LeMat-Bulk: a geometry-optimized CdIn2F structure (PBE).

```
8
Lattice="-4.208 2.908 -1.632 -3.284 -4.070 1.217 -4.568 2.195 6.860" Properties=species:S:1:pos:R:3 pbc="T T T"
Cd -6.262 2.261 2.511
In -4.108 -1.364 2.121
In -3.796 1.590 0.997
In -9.680 1.004 4.670
Cd 0.000 0.000 0.000
F -3.746 -0.581 -0.208
F -5.799 -1.228 3.935
In -6.538 0.836 5.102
```

Properties
Total magnetization (μB/atom): 0.000
Energy relative to the elements, uncorrected (eV per atom): -0.62
Theoretical density (kg/m³): 5445
DOS at the Fermi energy (states/eV/f.u.): 1.7
SG: I-42d, No. 122

***

Entry 2:
Entry from Alexandria via LeMat-Bulk: a geometry-optimized CdIn6F12 structure (PBE).

```
19
Lattice="-4.174 5.737 -3.908 -3.171 -7.424 -0.664 2.123 2.023 7.551" Properties=species:S:1:pos:R:3 pbc="T T T"
In -0.127 1.308 2.479
F -1.765 2.631 2.584
F -5.814 -1.840 -1.363
F -1.257 0.220 3.969
F -1.960 -2.253 2.792
In -2.211 1.271 -1.170
In -3.893 2.680 2.196
F -3.364 4.792 2.184
F -3.262 2.589 0.186
In -1.329 -2.344 0.783
F 0.592 2.176 4.342
F -3.457 -2.295 0.395
F -3.303 2.574 -2.531
F -3.965 0.116 -0.990
Cd 0.000 0.000 0.000
F -1.919 -2.238 5.509
In -3.011 -0.936 4.149
In -5.095 -0.972 0.500
F -1.858 -4.456 0.795
```

Properties
Total magnetization (μB/atom): 0.000
Energy relative to the elements, uncorrected (eV per atom): -2.05
Theoretical density (kg/m³): 5322
SG: R-3, No. 148

***

Entry 3:
Entry from Alexandria via LeMat-Bulk: a geometry-optimized Cd2InF5 structure (PBE).

```
16
Lattice="4.263 0.000 0.000 -2.132 6.885 0.000 0.000 0.000 10.111" Properties=species:S:1:pos:R:3 pbc="T T T"
F 0.000 3.957 1.004
Cd 0.000 1.576 8.912
F 0.000 3.957 4.052
F 2.132 5.831 6.024
In 0.000 2.491 2.528
Cd 2.132 5.308 1.199
F 2.132 2.928 6.059
F 2.132 2.928 9.107
F 0.000 4.485 7.583
F 0.000 1.054 0.968
In 2.132 4.393 7.583
Cd 2.132 5.308 3.857
F 2.132 5.831 9.143
Cd 0.000 1.576 6.255
F 0.000 1.054 4.088
F 2.132 2.400 2.528
```

Properties
Total magnetization (μB/atom): 0.000
Energy relative to the elements, uncorrected (eV per atom): -2.04
Theoretical density (kg/m³): 4864
DOS at the Fermi energy (states/eV/f.u.): 0.0
SG: Cmcm, No. 63

***

Entry 4:
Entry from Alexandria via LeMat-Bulk: a geometry-optimized CdInF structure (PBE).

```
3
Lattice="3.265 0.000 0.000 -1.633 2.828 0.000 0.000 0.000 6.671" Properties=species:S:1:pos:R:3 pbc="T T T"
In 1.633 0.943 2.476
F 0.000 1.885 4.601
Cd 0.000 0.000 6.265
```

Properties
Total magnetization (μB/atom): 0.000
Energy relative to the elements, uncorrected (eV per atom): -0.95
Theoretical density (kg/m³): 6638
DOS at the Fermi energy (states/eV/f.u.): 1.1
SG: P3m1, No. 156

***

Entry 5:
Entry from Alexandria via LeMat-Bulk: a geometry-optimized CdIn2F structure (PBE).

```
4
Lattice="3.281 0.000 0.000 0.000 5.210 0.000 0.000 0.000 5.210" Properties=species:S:1:pos:R:3 pbc="T T T"
F 1.640 0.000 0.000
In 0.000 0.000 2.605
Cd 1.640 2.605 2.605
In 0.000 2.605 0.000
```

Properties
Total magnetization (μB/atom): 0.000
Energy relative to the elements, uncorrected (eV per atom): -0.63
Theoretical density (kg/m³): 6732
DOS at the Fermi energy (states/eV/f.u.): 1.3
SG: P4/mmm, No. 123

***

Entry 6:
Entry from Alexandria via LeMat-Bulk: a geometry-optimized Cd2InF structure (PBE).

```
8
Lattice="7.800 0.000 0.000 0.000 7.800 0.000 3.900 3.900 2.874" Properties=species:S:1:pos:R:3 pbc="T T T"
F 3.900 7.800 1.437
In 0.000 0.000 0.000
Cd 5.448 1.950 0.718
Cd 9.751 9.348 2.155
F 3.900 3.900 0.000
Cd 2.353 5.850 0.718
Cd 5.850 6.253 2.155
In 7.800 3.900 1.437
```

Properties
Total magnetization (μB/atom): 0.000
Energy relative to the elements, uncorrected (eV per atom): -0.65
Theoretical density (kg/m³): 6811
DOS at the Fermi energy (states/eV/f.u.): 0.7
SG: I-42d, No. 122

***

Entry 7:
Entry from Alexandria via LeMat-Bulk: a geometry-optimized K2CdInF6 structure (PBE).

```
20
Lattice="-0.744 6.312 -0.223 -4.323 -0.343 4.697 6.554 0.988 6.105" Properties=species:S:1:pos:R:3 pbc="T T T"
F 0.311 3.329 2.506
F 0.628 5.084 5.153
In 1.840 3.565 4.098
K -2.094 3.134 4.998
K 0.676 0.173 2.640
F -2.424 1.422 2.371
Cd -1.483 3.068 1.096
F -1.729 -0.022 5.132
Cd 0.065 0.239 6.542
In -3.259 -0.259 3.540
K 3.885 0.657 5.630
F -0.198 1.534 -0.036
F -0.580 4.775 -0.151
F 1.005 1.884 5.266
F -1.582 4.843 7.565
F -1.221 1.773 7.674
F 1.600 0.480 8.233
K 1.250 3.638 8.113
F 3.535 3.815 5.510
F -2.790 4.534 2.261
```

Properties
Total magnetization (μB/atom): 0.000
Energy relative to the elements, uncorrected (eV per atom): -2.41
Theoretical density (kg/m³): 3802
DOS at the Fermi energy (states/eV/f.u.): 1.9
SG: Pmmn, No. 59

***

Entry 8:
Entry from Alexandria via LeMat-Bulk: a geometry-optimized Li2CdInF8 structure (PBE).

```
12
Lattice="-1.776 -5.639 0.089 1.511 1.574 5.496 -4.372 3.464 -1.964" Properties=species:S:1:pos:R:3 pbc="T T T"
F -1.283 -3.266 3.619
F -0.587 -0.289 2.260
F -3.939 1.379 -0.962
F -3.463 0.974 2.324
F -1.893 -0.897 -0.254
Li -0.132 -2.032 2.792
Li -3.140 -2.104 0.459
F -2.635 -3.868 0.849
In 0.000 0.000 0.000
Cd -1.496 1.503 3.162
F -4.284 -1.743 -0.983
F -3.747 -1.908 2.223
```

Properties
Total magnetization (μB/atom): 0.096
Energy relative to the elements, uncorrected (eV per atom): -2.32
Theoretical density (kg/m³): 4102
DOS at the Fermi energy (states/eV/f.u.): 10.0
SG: I-4m2, No. 119

***

Entry 9:
Entry from Alexandria via LeMat-Bulk: a geometry-optimized LiCdInF6 structure (PBE).

```
18
Lattice="4.998 0.000 0.000 0.000 4.998 0.000 0.000 0.000 10.064" Properties=species:S:1:pos:R:3 pbc="T T T"
F 3.505 3.505 3.443
F 3.992 1.006 8.475
In 0.000 0.000 3.370
F 1.493 1.493 3.443
Li 0.000 0.000 10.041
F 4.078 0.919 1.692
F 3.988 1.010 4.930
Li 2.499 2.499 5.008
F 3.508 3.508 9.962
F 1.579 1.579 6.724
In 2.499 2.499 8.402
F 3.418 3.418 6.724
F 1.489 1.489 9.962
Cd 2.499 2.499 1.684
Cd 0.000 0.000 6.716
F 0.919 4.078 1.692
F 1.010 3.988 4.930
F 1.006 3.992 8.475
```

Properties
Total magnetization (μB/atom): 0.000
Energy relative to the elements, uncorrected (eV per atom): -2.51
Theoretical density (kg/m³): 4600
DOS at the Fermi energy (states/eV/f.u.): 0.0
SG: P4_2nm, No. 102

***

Entry 10:
Entry from Alexandria via LeMat-Bulk: a geometry-optimized CdInN2F structure (PBE).

```
5
Lattice="-0.709 2.417 3.567 3.345 -1.970 1.999 2.889 3.252 -1.629" Properties=species:S:1:pos:R:3 pbc="T T T"
N -0.355 1.208 1.784
Cd 0.000 0.000 0.000
N 1.672 -0.985 1.000
In 2.762 1.849 1.969
F 1.444 1.626 -0.814
```

Properties
Total magnetization (μB/atom): 0.700
Energy relative to the elements, uncorrected (eV per atom): 0.82
Theoretical density (kg/m³): 5142
DOS at the Fermi energy (states/eV/f.u.): 2.0
SG: P4/mmm, No. 123

***

Entry 11:
Entry from Alexandria via LeMat-Bulk: a geometry-optimized CdInN2F structure (PBE).

```
5
Lattice="4.278 0.000 0.000 0.000 4.278 0.000 0.000 0.000 4.257" Properties=species:S:1:pos:R:3 pbc="T T T"
F 0.000 0.000 2.128
N 0.000 2.139 0.000
In 0.000 0.000 0.000
N 2.139 0.000 0.000
Cd 2.139 2.139 2.128
```

Properties
Total magnetization (μB/atom): 0.343
Energy relative to the elements, uncorrected (eV per atom): 0.52
Theoretical density (kg/m³): 5845
DOS at the Fermi energy (states/eV/f.u.): 2.3
SG: P4/mmm, No. 123

***

Entry 12:
Entry from Alexandria via LeMat-Bulk: a geometry-optimized NaCdInF6 structure (PBE).

```
18
Lattice="5.147 0.000 0.000 0.000 5.147 0.000 0.000 0.000 10.427" Properties=species:S:1:pos:R:3 pbc="T T T"
F 3.652 3.652 3.431
F 3.532 3.532 10.323
F 4.068 1.079 8.645
Cd 2.573 2.573 1.747
F 4.162 0.985 1.884
F 4.188 0.959 5.110
F 0.959 4.188 5.110
F 3.558 3.558 7.097
F 1.615 1.615 10.323
F 0.985 4.162 1.884
F 1.079 4.068 8.645
In 2.573 2.573 8.696
Na 2.573 2.573 5.200
F 1.494 1.494 3.431
Na 0.000 0.000 10.414
In 0.000 0.000 3.483
Cd 0.000 0.000 6.960
F 1.588 1.588 7.097
```

Properties
Total magnetization (μB/atom): 0.000
Energy relative to the elements, uncorrected (eV per atom): -2.50
Theoretical density (kg/m³): 4380
DOS at the Fermi energy (states/eV/f.u.): 0.0
SG: P4_2nm, No. 102

***

Which value of theoretical density does entry 2 give? 5322 kg/m³